1.
First-principles (PBE) data for an optimized crystal structure of CdAgPt2, as listed in the Alexandria database.

Cell and atoms, written as CIF:
```
data_CdAgPt2
_chemical_formula_sum 'Cd1 Ag1 Pt2'
_cell_length_a 2.854
_cell_length_b 4.115
_cell_length_c 5.799
_cell_angle_alpha 90.00
_cell_angle_beta 90.00
_cell_angle_gamma 90.00
_symmetry_space_group_name_H-M 'P m m 2'
_symmetry_Int_Tables_number 25
loop_
_symmetry_equiv_pos_as_xyz
'x,y,z'
'-x,-y,z'
'-x,y,z'
'x,-y,z'
loop_
_atom_site_label
_atom_site_fract_x
_atom_site_fract_y
_atom_site_fract_z
Cd1 0.000 0.000 0.000
Ag1 0.500 0.500 0.737
Pt1 0.000 0.000 0.493
Pt2 0.500 0.500 0.247
```

Calculated values
- Final energy: -4.082 eV per atom
- Density of states at the Fermi level: 1.68 states/eV/f.u.

2.
First-principles (PBE) data for an optimized crystal structure of CdAg2Pt, as listed in the Alexandria database.

Cell and atoms, written as CIF:
```
data_CdAg2Pt
_chemical_formula_sum 'Cd2 Ag4 Pt2'
_cell_length_a 9.815
_cell_length_b 2.965
_cell_length_c 4.953
_cell_angle_alpha 90.00
_cell_angle_beta 100.39
_cell_angle_gamma 90.00
_symmetry_space_group_name_H-M 'C 1 2/m 1'
_symmetry_Int_Tables_number 12
loop_
_symmetry_equiv_pos_as_xyz
'x,y,z'
'-x,-y,-z'
'-x,y,-z'
'x,-y,z'
'x+1/2,y+1/2,z'
'-x+1/2,-y+1/2,-z'
'-x+1/2,y+1/2,-z'
'x+1/2,-y+1/2,z'
loop_
_atom_site_label
_atom_site_fract_x
_atom_site_fract_y
_atom_site_fract_z
Cd1 0.000 0.000 0.000
Ag1 0.246 0.000 0.744
Pt1 0.000 0.500 0.500
```

Calculated values
- Final energy: -3.278 eV per atom
- Density of states at the Fermi level: 0.74 states/eV/f.u.

3.
First-principles (PBE) data for an optimized crystal structure of CdAgPt2, as listed in the Alexandria database.

Cell and atoms, written as CIF:
```
data_CdAgPt2
_chemical_formula_sum 'Cd1 Ag1 Pt2'
_cell_length_a 2.908
_cell_length_b 2.908
_cell_length_c 8.056
_cell_angle_alpha 90.00
_cell_angle_beta 90.00
_cell_angle_gamma 90.00
_symmetry_space_group_name_H-M 'P 4/m m m'
_symmetry_Int_Tables_number 123
_symmetry_space_group_name_Hall '-P 4 2'
loop_
_atom_site_label
_atom_site_fract_x
_atom_site_fract_y
_atom_site_fract_z
Cd1 0.000 0.000 0.000
Ag1 0.000 0.000 0.500
Pt1 0.500 0.500 0.250
```

Calculated values
- Final energy: -4.100 eV per atom
- Density of states at the Fermi level: 1.13 states/eV/f.u.

4.
First-principles (PBE) data for an optimized crystal structure of CdAg2Pt, as listed in the Alexandria database.

Cell and atoms, written as CIF:
```
data_CdAg2Pt
_chemical_formula_sum 'Cd2 Ag4 Pt2'
_cell_length_a 5.659
_cell_length_b 10.016
_cell_length_c 2.942
_cell_angle_alpha 90.00
_cell_angle_beta 120.43
_cell_angle_gamma 90.00
_symmetry_space_group_name_H-M 'C 1 2/m 1'
_symmetry_Int_Tables_number 12
loop_
_symmetry_equiv_pos_as_xyz
'x,y,z'
'-x,-y,-z'
'-x,y,-z'
'x,-y,z'
'x+1/2,y+1/2,z'
'-x+1/2,-y+1/2,-z'
'-x+1/2,y+1/2,-z'
'x+1/2,-y+1/2,z'
loop_
_atom_site_label
_atom_site_fract_x
_atom_site_fract_y
_atom_site_fract_z
Cd1 0.000 0.000 0.000
Ag1 0.250 0.250 0.500
Pt1 0.000 0.500 0.000
```

Calculated values
- Final energy: -3.227 eV per atom
- Density of states at the Fermi level: 1.40 states/eV/f.u.